Here is an optimized crystal structure of KCaRe2B from Alexandria. Energies are from PBE.

The structure belongs to space group P4/mmm (No. 123); the cell edges are 5.297, 5.297 and 5.033 Å and the angles 90.00°, 90.00° and 90.00°. The distinct sites, in fractional coordinates, are K at (0.000, 0.000, 0.000), Ca at (0.500, 0.500, 0.500), Re at (0.000, 0.500, 0.500) and B at (0.500, 0.500, 0.000).

---

Here is an optimized crystal structure of KSrCa2B from Alexandria. Energies are from PBE.

The structure belongs to space group P4/mmm (No. 123); the cell edges are 6.988, 6.988 and 5.009 Å and the angles 90.00°, 90.00° and 90.00°. The distinct sites, in fractional coordinates, are K at (0.000, 0.000, 0.000), Sr at (0.500, 0.500, 0.500), Ca at (0.000, 0.500, 0.500) and B at (0.500, 0.500, 0.000).

---

Here is an optimized crystal structure of KCa2TlB from Alexandria. Energies are from PBE.

The structure belongs to space group P4/mmm (No. 123); the cell edges are 6.020, 6.020 and 6.450 Å and the angles 90.00°, 90.00° and 90.00°. The distinct sites, in fractional coordinates, are K at (0.000, 0.000, 0.000), Ca at (0.000, 0.500, 0.500), Tl at (0.000, 0.000, 0.500) and B at (0.500, 0.500, 0.000).

---

Here is an optimized crystal structure of CaLaB3 from Alexandria. Energies are from PBE.

The structure belongs to space group Pm-3m (No. 221); the cell edges are 4.623, 4.623 and 4.623 Å and the angles 90.00°, 90.00° and 90.00°. The distinct sites, in fractional coordinates, are Ca at (0.000, 0.000, 0.000), La at (0.500, 0.500, 0.500) and B at (0.000, 0.000, 0.500).

The excess energy over the best structure of this formula in the dataset is 0.00 eV/f.u.

---

Here is an optimized crystal structure of CaLaB from Alexandria. Energies are from PBE.

The structure belongs to space group Cm (No. 8); the cell edges are 14.576, 3.288 and 8.471 Å and the angles 90.00°, 125.49° and 90.00°. The distinct sites, in fractional coordinates, are Ca at (0.000, 0.000, 0.000), Ca at (0.002, 0.500, 0.591), La at (0.220, 0.000, 0.513), La at (0.282, 0.500, 0.079), B at (0.001, 0.000, 0.319) and B at (0.001, 0.500, 0.281).

The excess energy over the best structure of this formula in the dataset is 0.44 eV/f.u.

---

Here is an optimized crystal structure of CaLaB from Alexandria. Energies are from PBE.

The structure belongs to space group P-1 (No. 2); the cell edges are 3.280, 7.017 and 7.244 Å and the angles 94.25°, 102.99° and 90.05°. The distinct sites, in fractional coordinates, are Ca at (0.094, 0.301, 0.188), La at (0.336, 0.196, 0.676) and B at (0.253, 0.534, 0.505).

The excess energy over the best structure of this formula in the dataset is 0.26 eV/f.u.

---

Here is an optimized crystal structure of CaLaB from Alexandria. Energies are from PBE.

The structure belongs to space group P6_3/mmc (No. 194); the cell edges are 4.8777, 4.8777 and 6.6588 Å and the angles 90.00°, 90.00° and 120.00°. The distinct sites, in fractional coordinates, are Ca at (0.0000, 0.0000, 0.0000), La at (0.3333, 0.6667, 0.2500) and B at (0.3333, 0.6667, 0.7500).

The excess energy over the best structure of this formula in the dataset is 1.31 eV/f.u.

---

Here is an optimized crystal structure of CaLaB from Alexandria. Energies are from PBE.

The structure belongs to space group C2/m (No. 12); the cell edges are 26.896, 3.749 and 3.308 Å and the angles 90.00°, 90.01° and 90.00°. The distinct sites, in fractional coordinates, are Ca at (0.193, 0.000, 0.249), La at (0.066, 0.500, 0.750) and B at (0.009, 0.000, 0.250).

The excess energy over the best structure of this formula in the dataset is 0.00 eV/f.u.

---

Here is an optimized crystal structure of CaLaB from Alexandria. Energies are from PBE.

The structure belongs to space group F-43m (No. 216); the cell edges are 6.576, 6.576 and 6.576 Å and the angles 90.00°, 90.00° and 90.00°. The distinct sites, in fractional coordinates, are Ca at (0.000, 0.000, 0.000), La at (0.250, 0.250, 0.250) and B at (0.000, 0.000, 0.500).

The excess energy over the best structure of this formula in the dataset is 3.31 eV/f.u.

---

Here is an optimized crystal structure of CaLa3B from Alexandria. Energies are from PBE.

The structure belongs to space group Pm-3m (No. 221); the cell edges are 5.658, 5.658 and 5.658 Å and the angles 90.00°, 90.00° and 90.00°. The distinct sites, in fractional coordinates, are Ca at (0.000, 0.000, 0.000), La at (0.000, 0.000, 0.500) and B at (0.500, 0.500, 0.500).

The excess energy over the best structure of this formula in the dataset is 7.74 eV/f.u.

---

Here is an optimized crystal structure of CaLaB from Alexandria. Energies are from PBE.

The structure belongs to space group Pnma (No. 62); the cell edges are 10.303, 4.440 and 6.909 Å and the angles 90.00°, 90.00° and 90.00°. The distinct sites, in fractional coordinates, are Ca at (0.107, 0.250, 0.091), La at (0.144, 0.250, 0.591) and B at (0.162, 0.750, 0.830).

The excess energy over the best structure of this formula in the dataset is 1.13 eV/f.u.

---

Here is an optimized crystal structure of CaLaB from Alexandria. Energies are from PBE.

The structure belongs to space group P4/nmm (No. 129, origin choice 2); the cell edges are 4.761, 4.761 and 7.222 Å and the angles 90.00°, 90.00° and 90.00°. The distinct sites, in fractional coordinates, are Ca at (0.250, 0.250, 0.210), La at (0.250, 0.250, 0.667) and B at (0.250, 0.750, 0.500).

The excess energy over the best structure of this formula in the dataset is 1.01 eV/f.u.

---

Here is an optimized crystal structure of CaLaB from Alexandria. Energies are from PBE.

The structure belongs to space group F-43m (No. 216); the cell edges are 6.688, 6.688 and 6.688 Å and the angles 90.00°, 90.00° and 90.00°. The distinct sites, in fractional coordinates, are Ca at (0.000, 0.000, 0.000), La at (0.000, 0.000, 0.500) and B at (0.250, 0.250, 0.750).

The excess energy over the best structure of this formula in the dataset is 1.15 eV/f.u.

---

Here is an optimized crystal structure of CaLaB from Alexandria. Energies are from PBE.

The structure belongs to space group Pnma (No. 62); the cell edges are 8.337, 4.989 and 7.319 Å and the angles 90.00°, 90.00° and 90.00°. The distinct sites, in fractional coordinates, are Ca at (0.068, 0.250, 0.172), La at (0.156, 0.250, 0.613) and B at (0.166, 0.750, 0.425).

The excess energy over the best structure of this formula in the dataset is 0.97 eV/f.u.

---

Here is an optimized crystal structure of CaLaB from Alexandria. Energies are from PBE.

The structure belongs to space group Pnma (No. 62); the cell edges are 13.880, 6.782 and 3.352 Å and the angles 90.00°, 90.00° and 90.00°. The distinct sites, in fractional coordinates, are Ca at (0.121, 0.250, 0.003), La at (0.107, 0.750, 0.001) and B at (0.000, 0.000, 0.500).

The excess energy over the best structure of this formula in the dataset is 1.33 eV/f.u.

---

Here is an optimized crystal structure of CaLaB from Alexandria. Energies are from PBE.

The structure belongs to space group P-1 (No. 2); the cell edges are 3.290, 5.283 and 10.049 Å and the angles 90.76°, 90.50° and 107.82°. The distinct sites, in fractional coordinates, are Ca at (0.000, 0.000, 0.000), Ca at (0.500, 0.000, 0.500), La at (0.241, 0.495, 0.751) and B at (0.263, 0.526, 0.021).

The excess energy over the best structure of this formula in the dataset is 0.43 eV/f.u.

---

Here is an optimized crystal structure of CaLaB from Alexandria. Energies are from PBE.

The structure belongs to space group P2_1/m (No. 11); the cell edges are 6.955, 3.269 and 7.203 Å and the angles 90.00°, 91.15° and 90.00°. The distinct sites, in fractional coordinates, are Ca at (0.185, 0.250, 0.317), La at (0.322, 0.250, 0.805) and B at (0.471, 0.750, 0.513).

The excess energy over the best structure of this formula in the dataset is 0.31 eV/f.u.

---

Here is an optimized crystal structure of CaLa3B from Alexandria. Energies are from PBE.

The structure belongs to space group Pm-3m (No. 221); the cell edges are 5.525, 5.525 and 5.525 Å and the angles 90.00°, 90.00° and 90.00°. The distinct sites, in fractional coordinates, are Ca at (0.000, 0.000, 0.000), La at (0.000, 0.500, 0.500) and B at (0.500, 0.500, 0.500).

The excess energy over the best structure of this formula in the dataset is 0.00 eV/f.u.

---

Here is an optimized crystal structure of CaLaB3 from Alexandria. Energies are from PBE.

The structure belongs to space group Pm-3m (No. 221); the cell edges are 4.799, 4.799 and 4.799 Å and the angles 90.00°, 90.00° and 90.00°. The distinct sites, in fractional coordinates, are Ca at (0.000, 0.000, 0.000), La at (0.500, 0.500, 0.500) and B at (0.000, 0.500, 0.500).

The excess energy over the best structure of this formula in the dataset is 0.21 eV/f.u.

---

Here is an optimized crystal structure of CaLaB from Alexandria. Energies are from PBE.

The structure belongs to space group P6_3/mmc (No. 194); the cell edges are 4.7214, 4.7214 and 9.9983 Å and the angles 90.00°, 90.00° and 120.00°. The distinct sites, in fractional coordinates, are Ca at (0.3333, 0.6667, 0.2500), La at (0.0000, 0.0000, 0.0000) and B at (0.0000, 0.0000, 0.2500).

The excess energy over the best structure of this formula in the dataset is 2.26 eV/f.u.

---

In the order shown, the computed theoretical density values come out to 5.436 1.478 2.376 3.554 3.814 3.891 4.594 3.779 4.433 4.287 3.989 3.850 4.215 4.141 3.995 3.792 3.850 4.605 3.176 3.266 g cm⁻³.
In the order shown, the computed ΔH_f (0 K) values come out to 2.979 1.116 1.081 1.574 -0.002 -0.061 0.288 -0.147 0.955 1.664 0.230 0.190 0.238 0.176 0.297 -0.003 -0.045 0.116 1.617 0.605 eV/atom.
In the order shown, the computed VASP energy values come out to -3.96 -1.58 -1.75 -3.82 -4.54 -4.60 -4.25 -4.68 -3.58 -3.03 -4.31 -4.35 -4.30 -4.36 -4.24 -4.54 -4.58 -4.58 -3.78 -3.93 eV per atom.